VASP calculation (GGA-PBE) on InSnPd2 after structural relaxation.

Cell: 8.5751 8.5751 8.5751 Å, 21.87 21.87 21.87°
Closest atoms and distances in Å follow each position.
Fractional coordinates of all 4 atoms:
In  0.0000  0.0000  0.0000  6 Pd 2.81-2.82
Sn  0.8332  0.8332  0.8332  6 Pd 2.81
Pd  0.2498  0.2498  0.2498  3 Sn 2.81, 3 In 2.82
Pd  0.4168  0.4168  0.4168  3 Sn 2.81, 3 In 2.81

Values from the calculation:
- total moment (μB per formula unit) = 0.000
- calculated volume (A^3/atom) = 19.17
- space group = R3m
- density of states at the Fermi level (states/eV/f.u.) = 1.49
- uncorrected energy (eV per cell) = -18.61

VASP calculation (GGA-PBE) on SrInSn2Pd2 after structural relaxation.

Cell: 5.0222 5.0222 6.3523 Å, 90.00 90.00 90.00°
Closest atoms and distances in Å follow each position.
Fractional coordinates of all 6 atoms:
Sr  0.0000  0.0000  0.0000  2 In 3.18
In  0.0000  0.0000  0.5000  4 Pd 2.51
Sn  0.5000  0.5000  0.2509  4 Pd 2.97, 2 Sn 3.16-3.19
Sn  0.5000  0.5000  0.7491  4 Pd 2.97, 2 Sn 3.16-3.19
Pd  0.0000  0.5000  0.5000  2 In 2.51
Pd  0.5000  0.0000  0.5000  2 In 2.51

Values from the calculation:
- total moment (μB per formula unit) = 0.000
- calculated volume (A^3/atom) = 26.70
- space group = P4/mmm
- density of states at the Fermi level (states/eV/f.u.) = 3.66
- uncorrected energy (eV per cell) = -24.69

VASP calculation (GGA-PBE) on Sr2In3SnPd4 after structural relaxation.

Cell: 4.7688 4.7688 10.5865 Å, 90.00 90.00 90.00°
Closest atoms and distances in Å follow each position.
Fractional coordinates of all 10 atoms:
Sr  0.0000  0.5000  0.2384  8 Pd 3.47-3.66, 7 In 3.59-3.81, 2 Sn 3.65
Sr  0.5000  0.0000  0.7616  8 Pd 3.47-3.66, 7 In 3.59-3.81, 2 Sn 3.65
In  0.0000  0.5000  0.8789  5 Pd 2.67-2.71
In  0.5000  0.0000  0.1211  5 Pd 2.67-2.71
In  0.5000  0.5000  0.5000  4 Pd 2.73
Sn  0.0000  0.0000  0.5000  4 Pd 2.73
Pd  0.0000  0.0000  0.0000  4 In 2.71
Pd  0.0000  0.5000  0.6264  3 In 2.67-2.73, 2 Sn 2.73
Pd  0.5000  0.0000  0.3736  3 In 2.67-2.73, 2 Sn 2.73
Pd  0.5000  0.5000  0.0000  4 In 2.71

Values from the calculation:
- total moment (μB per formula unit) = 0.000
- calculated volume (A^3/atom) = 24.08
- space group = P-4m2
- density of states at the Fermi level (states/eV/f.u.) = 3.28
- uncorrected energy (eV per cell) = -42.68

VASP calculation (GGA-PBE) on SrIn2SnPd2 after structural relaxation.

Cell: 5.0327 5.0327 6.2968 Å, 90.00 90.00 90.00°
Closest atoms and distances in Å follow each position.
Fractional coordinates of all 6 atoms:
Sr  0.0000  0.0000  0.0000  2 Sn 3.15
In  0.5000  0.5000  0.2501  4 Pd 2.97, 2 In 3.15
In  0.5000  0.5000  0.7499  4 Pd 2.97, 2 In 3.15
Sn  0.0000  0.0000  0.5000  4 Pd 2.52
Pd  0.0000  0.5000  0.5000  2 Sn 2.52
Pd  0.5000  0.0000  0.5000  2 Sn 2.52

Values from the calculation:
- total moment (μB per formula unit) = 0.000
- calculated volume (A^3/atom) = 26.58
- space group = P4/mmm
- density of states at the Fermi level (states/eV/f.u.) = 3.21
- uncorrected energy (eV per cell) = -23.49

Q: The highest density of states at the Fermi level belongs to which entry?
A: SrInSn2Pd2

Q: Number 2 is which compound?
A: SrInSn2Pd2

Q: The highest density of states at the Fermi level belongs to which entry?
A: SrInSn2Pd2